DFT (PBE) results for a geometry-optimized CsGaF2 structure.

Geometry as POSCAR:
```
CsGaF2
1.0
2.2155 1.2791 7.4971
-2.2155 1.2791 7.4971
0.0000 -2.5582 7.4971
Cs Ga F
1 1 2
direct
0.0000 0.0000 0.0000 Cs
0.5000 0.5000 0.5000 Ga
0.4065 0.4065 0.4065 F
0.5935 0.5935 0.5935 F
```

- formation energy from raw total energies (eV/atom) = -2.0191
- crystal system = trigonal
- total energy (eV per atom) = -3.92
- distance to the lowest polymorph of the same formula (meV per atom) = 6

=====

DFT (PBE) results for a geometry-optimized CsGa2F structure.

Geometry as POSCAR:
```
CsGa2F
1.0
0.0000 3.8619 3.8619
3.8619 0.0000 3.8619
3.8619 3.8619 0.0000
Cs Ga F
1 2 1
direct
0.0000 0.0000 0.0000 Cs
0.2500 0.2500 0.2500 Ga
0.7500 0.7500 0.7500 Ga
0.5000 0.5000 0.5000 F
```

- formation energy from raw total energies (eV/atom) = -0.1268
- crystal system = cubic
- total energy (eV per atom) = -2.32

=====

DFT (PBE) results for a geometry-optimized CsGa4F12 structure.

Geometry as POSCAR:
```
CsGa4F12
1.0
-3.9951 3.9951 3.9951
3.9951 -3.9951 3.9951
3.9951 3.9951 -3.9951
Cs Ga F
1 4 12
direct
0.0000 0.0000 0.0000 Cs
0.0000 0.0000 0.5000 Ga
0.0000 0.5000 0.0000 Ga
0.5000 0.0000 0.0000 Ga
0.5000 0.5000 0.5000 Ga
0.0000 0.2534 0.7466 F
0.0000 0.7466 0.2534 F
0.2534 0.0000 0.7466 F
0.2534 0.2534 0.5067 F
0.2534 0.5067 0.2534 F
0.2534 0.7466 0.0000 F
0.4933 0.7466 0.7466 F
0.5067 0.2534 0.2534 F
0.7466 0.0000 0.2534 F
0.7466 0.2534 0.0000 F
0.7466 0.4933 0.7466 F
0.7466 0.7466 0.4933 F
```

- formation energy from raw total energies (eV/atom) = -2.4550
- crystal system = cubic
- total energy (eV per atom) = -4.54

=====

DFT (PBE) results for a geometry-optimized Cs3Ga2F9 structure.

Geometry as POSCAR:
```
Cs3Ga2F9
1.0
11.0814 0.0000 0.0000
-5.5407 9.5967 0.0000
0.0000 0.0000 15.3634
Cs Ga F
18 12 54
direct
0.0000 0.3181 0.0000 Cs
0.0000 0.3387 0.6699 Cs
0.0000 0.3455 0.3145 Cs
0.0000 0.6545 0.8145 Cs
0.0000 0.6613 0.1699 Cs
0.0000 0.6819 0.5000 Cs
0.3181 0.0000 0.0000 Cs
0.3181 0.3181 0.5000 Cs
0.3387 0.0000 0.6699 Cs
0.3387 0.3387 0.1699 Cs
0.3455 0.0000 0.3145 Cs
0.3455 0.3455 0.8145 Cs
0.6545 0.0000 0.8145 Cs
0.6545 0.6545 0.3145 Cs
0.6613 0.0000 0.1699 Cs
0.6613 0.6613 0.6699 Cs
0.6819 0.0000 0.5000 Cs
0.6819 0.6819 0.0000 Cs
0.0000 0.0000 0.2189 Ga
0.0000 0.0000 0.4067 Ga
0.0000 0.0000 0.7189 Ga
0.0000 0.0000 0.9067 Ga
0.3333 0.6667 0.0919 Ga
0.3333 0.6667 0.4042 Ga
0.3333 0.6667 0.5919 Ga
0.3333 0.6667 0.9042 Ga
0.6667 0.3333 0.0919 Ga
0.6667 0.3333 0.4042 Ga
0.6667 0.3333 0.5919 Ga
0.6667 0.3333 0.9042 Ga
0.0000 0.1312 0.8133 F
0.0000 0.1487 0.4623 F
0.0000 0.1495 0.1651 F
0.0000 0.8505 0.6651 F
0.0000 0.8513 0.9623 F
0.0000 0.8688 0.3133 F
0.1312 0.0000 0.8133 F
0.1312 0.1312 0.3133 F
0.1487 0.0000 0.4623 F
0.1487 0.1487 0.9623 F
0.1495 0.0000 0.1651 F
0.1495 0.1495 0.6651 F
0.1863 0.5169 0.1481 F
0.1863 0.6694 0.6481 F
0.1871 0.5160 0.8479 F
0.1871 0.6711 0.3479 F
0.2006 0.5373 0.4982 F
0.2006 0.6633 0.9982 F
0.3289 0.5160 0.3479 F
0.3289 0.8129 0.8479 F
0.3306 0.5169 0.6481 F
0.3306 0.8137 0.1481 F
0.3367 0.5373 0.9982 F
0.3367 0.7994 0.4982 F
0.4627 0.6633 0.4982 F
0.4627 0.7994 0.9982 F
0.4831 0.6694 0.1481 F
0.4831 0.8137 0.6481 F
0.4840 0.6711 0.8479 F
0.4840 0.8129 0.3479 F
0.5160 0.1871 0.8479 F
0.5160 0.3289 0.3479 F
0.5169 0.1863 0.1481 F
0.5169 0.3306 0.6481 F
0.5373 0.2006 0.4982 F
0.5373 0.3367 0.9982 F
0.6633 0.2006 0.9982 F
0.6633 0.4627 0.4982 F
0.6694 0.1863 0.6481 F
0.6694 0.4831 0.1481 F
0.6711 0.1871 0.3479 F
0.6711 0.4840 0.8479 F
0.7994 0.3367 0.4982 F
0.7994 0.4627 0.9982 F
0.8129 0.3289 0.8479 F
0.8129 0.4840 0.3479 F
0.8137 0.3306 0.1481 F
0.8137 0.4831 0.6481 F
0.8505 0.0000 0.6651 F
0.8505 0.8505 0.1651 F
0.8513 0.0000 0.9623 F
0.8513 0.8513 0.4623 F
0.8688 0.0000 0.3133 F
0.8688 0.8688 0.8133 F
```

- formation energy from raw total energies (eV/atom) = -2.7938
- crystal system = hexagonal
- total energy (eV per atom) = -4.61

=====

DFT (PBE) results for a geometry-optimized CsGaF2 structure.

Geometry as POSCAR:
```
CsGaF2
1.0
0.0000 3.4727 3.4727
3.4727 0.0000 3.4727
3.4727 3.4727 0.0000
Cs Ga F
1 1 2
direct
0.0000 0.0000 0.0000 Cs
0.5000 0.5000 0.5000 Ga
0.2500 0.2500 0.2500 F
0.7500 0.7500 0.7500 F
```

- formation energy from raw total energies (eV/atom) = -1.8572
- crystal system = cubic
- total energy (eV per atom) = -3.76
- distance to the lowest polymorph of the same formula (meV per atom) = 168

=====

DFT (PBE) results for a geometry-optimized CsGa2F7 structure.

Geometry as POSCAR:
```
CsGa2F7
1.0
3.2138 -6.3277 0.0000
3.2138 6.3277 0.0000
0.0000 0.0000 3.8262
Cs Ga F
1 2 7
direct
0.0000 0.0000 0.0000 Cs
0.3444 0.6556 0.5000 Ga
0.6556 0.3444 0.5000 Ga
0.0677 0.3675 0.5000 F
0.3154 0.6846 0.0000 F
0.3675 0.0677 0.5000 F
0.5000 0.5000 0.5000 F
0.6325 0.9323 0.5000 F
0.6846 0.3154 0.0000 F
0.9323 0.6325 0.5000 F
```

- formation energy from raw total energies (eV/atom) = -2.5888
- crystal system = orthorhombic
- total energy (eV per atom) = -4.59